Entry from Alexandria: a relaxed structure of CdHg2Se (PBE).

Cell: 8.514 8.514 6.656 Å, 50.24 50.24 90.00°
Fractional coordinates of all 8 atoms:
Hg: 0.875 0.860 0.750
Se: 0.500 0.500 0.000
Cd: 0.750 0.250 0.500
Hg: 0.610 0.125 0.250
Hg: 0.375 0.390 0.750
Se: 0.250 0.750 0.500
Cd: 0.000 0.000 0.000
Hg: 0.140 0.625 0.250

Results
* raw total energy: -1.27 eV per atom
* ΔE_f (raw): -0.022 eV per atom
* SG: I-42d (122)
* magnetic moment: 0.000 μB per atom
* density: 9.56 Mg/m³